Here is a relaxed TlFeF3 crystal from Alexandria via LeMat-Bulk. Energies are from PBE+U.

abc: 4.607 4.607 4.607
angles: 90.00 90.00 90.00
Site moments in Bohr magnetons follow the coordinates.
Element x y z (fractional)
F1 0.500 0.000 0.000  0.01
F2 0.000 0.500 0.000  0.01
F3 0.000 0.000 0.500  0.00
Tl1 0.000 0.000 0.000  0.00
Fe1 0.500 0.500 0.500  2.90

Calculated values
Its energy above the most stable polymorph in this dataset is 1140 meV/atom. As for the total magnetization: 3.072 μB per formula unit.